Material: NbAsSBr2
Method: DFT, PBE
State: relaxed

- calculated total energy (Ha/atom) = -0.1267
- energy above the lowest structure with this stoichiometry (meV per atom) = 652.7
- crystal system = tetragonal
- total magnetization (μB per cell) = 2.36
- space-group type = P4/mmm
- energy relative to the elements, uncorrected (eV per atom) = 0.992

a = 4.9953 Å, b = 4.9953 Å, c = 4.9445 Å
α = 90.00°, β = 90.00°, γ = 90.00°
Last column: nearest neighbours and their distance in Å.
Positions (direct):
Nb (0.0000, 0.0000, 0.0000)  8 Br 3.51, 4 As 3.53
As (0.5000, 0.5000, 0.0000)  2 S 2.47
S (0.5000, 0.5000, 0.5000)  2 As 2.47, 4 Br 2.50
Br (0.0000, 0.5000, 0.5000)  2 S 2.50
Br (0.5000, 0.0000, 0.5000)  2 S 2.50


Material: CsCaV2Br8
Method: DFT, PBE
State: relaxed

- calculated total energy (Ha/atom) = -0.1493
- crystal system = trigonal
- total magnetization (μB per cell) = 5.00
- space-group type = R-3
- energy relative to the elements, uncorrected (eV per atom) = -1.189

a = 11.0135 Å, b = 11.0135 Å, c = 11.0135 Å
α = 37.53°, β = 37.53°, γ = 37.53°
Last column: nearest neighbours and their distance in Å.
Positions (direct):
Cs (0.0000, 0.0000, 0.0000)  12 Br 4.11
Ca (0.5000, 0.5000, 0.5000)  6 Br 2.93
V (0.2434, 0.2434, 0.2434)  4 Br 2.40-2.47
V (0.7566, 0.7566, 0.7566)  4 Br 2.40-2.47
Br (0.1120, 0.4375, 0.7816)  1 V 2.47
Br (0.2184, 0.8880, 0.5625)  1 V 2.47
Br (0.3217, 0.3217, 0.3217)  1 V 2.40
Br (0.4375, 0.7816, 0.1120)  1 V 2.47
Br (0.5625, 0.2184, 0.8880)  1 V 2.47
Br (0.6783, 0.6783, 0.6783)  1 V 2.40
Br (0.7816, 0.1120, 0.4375)  1 V 2.47
Br (0.8880, 0.5625, 0.2184)  1 V 2.47


Material: CaMgPb
Method: DFT, PBE
State: relaxed

- calculated total energy (Ha/atom) = -0.0980
- crystal system = tetragonal
- total magnetization (μB per cell) = 0.00
- space-group type = I4mm
- DFT formation energy (eV/atom) = -0.23

a = 6.6325 Å, b = 6.6325 Å, c = 6.6325 Å
α = 146.89°, β = 146.89°, γ = 47.53°
Last column: nearest neighbours and their distance in Å.
Positions (direct):
Ca (0.0000, 0.0000, 0.0000)  4 Pb 3.44, 5 Mg 3.49-3.83, 4 Ca 3.78
Mg (0.3152, 0.3152, 0.0000)  4 Pb 3.14, 4 Ca 3.49
Pb (0.6788, 0.6788, 0.0000)  4 Mg 3.14, 4 Ca 3.44


Material: Rb3SnTe3
Method: DFT, PBE
State: relaxed

- calculated total energy (Ha/atom) = -0.1160
- energy above the lowest structure with this stoichiometry (meV per atom) = 0.0
- crystal system = orthorhombic
- total magnetization (μB per cell) = 0.00
- space-group type = Pnma
- energy relative to the elements, uncorrected (eV per atom) = -0.824

a = 14.6284 Å, b = 5.4498 Å, c = 15.9994 Å
α = 90.00°, β = 90.00°, γ = 90.00°
Last column: nearest neighbours and their distance in Å.
Positions (direct):
Rb (0.0653, 0.2500, 0.1038)  6 Te 3.71-3.98, 1 Rb 4.07
Rb (0.1473, 0.7500, 0.4830)  6 Te 3.72-4.09
Rb (0.2359, 0.7500, 0.7816)  5 Te 3.64-3.78, 2 Sn 3.94, 1 Rb 4.07
Rb (0.2641, 0.2500, 0.2816)  5 Te 3.64-3.78, 2 Sn 3.94, 1 Rb 4.07
Rb (0.3527, 0.2500, 0.9830)  6 Te 3.72-4.09
Rb (0.4347, 0.7500, 0.6038)  6 Te 3.71-3.98, 1 Rb 4.07
Rb (0.5653, 0.2500, 0.3962)  6 Te 3.71-3.98, 1 Rb 4.07
Rb (0.6473, 0.7500, 0.0170)  6 Te 3.72-4.09
Rb (0.7359, 0.7500, 0.7184)  5 Te 3.64-3.78, 2 Sn 3.94, 1 Rb 4.07
Rb (0.7641, 0.2500, 0.2184)  5 Te 3.64-3.78, 2 Sn 3.94, 1 Rb 4.07
Rb (0.8527, 0.2500, 0.5170)  6 Te 3.72-4.09
Rb (0.9347, 0.7500, 0.8962)  6 Te 3.71-3.98, 1 Rb 4.07
Sn (0.0638, 0.2500, 0.6988)  4 Te 2.85-3.01
Sn (0.4362, 0.7500, 0.1988)  4 Te 2.85-3.01
Sn (0.5638, 0.2500, 0.8012)  4 Te 2.85-3.01
Sn (0.9362, 0.7500, 0.3012)  4 Te 2.85-3.01
Te (0.0145, 0.2500, 0.3365)  2 Sn 3.01
Te (0.1053, 0.2500, 0.8732)  1 Sn 2.86
Te (0.2371, 0.2500, 0.6179)  1 Sn 2.85
Te (0.2629, 0.7500, 0.1179)  1 Sn 2.85
Te (0.3947, 0.7500, 0.3732)  1 Sn 2.86
Te (0.4855, 0.7500, 0.8365)  2 Sn 3.01
Te (0.5145, 0.2500, 0.1635)  2 Sn 3.01
Te (0.6053, 0.2500, 0.6268)  1 Sn 2.86
Te (0.7371, 0.2500, 0.8821)  1 Sn 2.85
Te (0.7629, 0.7500, 0.3821)  1 Sn 2.85
Te (0.8947, 0.7500, 0.1268)  1 Sn 2.86
Te (0.9855, 0.7500, 0.6635)  2 Sn 3.01


Material: Cs2SeF7
Method: DFT, PBE
State: relaxed

- calculated total energy (Ha/atom) = -0.1422
- crystal system = monoclinic
- total magnetization (μB per cell) = 2.08
- space-group type = C2/c
- energy relative to the elements, uncorrected (eV per atom) = -2.041

a = 8.3436 Å, b = 8.3436 Å, c = 10.6870 Å
α = 128.87°, β = 128.87°, γ = 48.36°
Last column: nearest neighbours and their distance in Å.
Positions (direct):
Cs (0.0099, 0.6744, 0.7552)  6 F 2.98-3.16
Cs (0.3256, 0.9901, 0.7448)  6 F 2.98-3.16
Cs (0.6744, 0.0099, 0.2552)  6 F 2.98-3.16
Cs (0.9901, 0.3256, 0.2448)  6 F 2.98-3.16
Se (0.3028, 0.6972, 0.2500)  7 F 1.87-2.09
Se (0.6972, 0.3028, 0.7500)  7 F 1.87-2.09
F (0.0193, 0.1226, 0.9042)  1 Se 2.09
F (0.1226, 0.0193, 0.4042)  1 Se 2.09
F (0.2215, 0.5948, 0.3071)  1 Se 1.87
F (0.2331, 0.4767, 0.0203)  1 Se 1.93
F (0.4052, 0.7785, 0.1929)  1 Se 1.87
F (0.4184, 0.5816, 0.7500)  1 Se 1.91
F (0.4767, 0.2331, 0.5203)  1 Se 1.93
F (0.5233, 0.7669, 0.4797)  1 Se 1.93
F (0.5816, 0.4184, 0.2500)  1 Se 1.91
F (0.5948, 0.2215, 0.8071)  1 Se 1.87
F (0.7669, 0.5233, 0.9797)  1 Se 1.93
F (0.7785, 0.4052, 0.6929)  1 Se 1.87
F (0.8774, 0.9807, 0.5958)  1 Se 2.09
F (0.9807, 0.8774, 0.0958)  1 Se 2.09


Material: KTaCd4
Method: DFT, PBE
State: relaxed

- calculated total energy (Ha/atom) = -0.0802
- crystal system = cubic
- total magnetization (μB per cell) = 0.95
- space-group type = F-43m
- DFT formation energy (eV/atom) = 0.58

a = 5.8465 Å, b = 5.8465 Å, c = 5.8465 Å
α = 60.00°, β = 60.00°, γ = 60.00°
Last column: nearest neighbours and their distance in Å.
Positions (direct):
K (0.0000, 0.0000, 0.0000)  12 Cd 3.43, 4 Ta 3.58
Ta (0.7500, 0.7500, 0.7500)  12 Cd 3.42, 4 K 3.58
Cd (0.3763, 0.3763, 0.3763)  6 Cd 2.89-2.95
Cd (0.3763, 0.3763, 0.8712)  6 Cd 2.89-2.95
Cd (0.3763, 0.8712, 0.3763)  6 Cd 2.89-2.95
Cd (0.8712, 0.3763, 0.3763)  6 Cd 2.89-2.95


Material: LaReRu2
Method: DFT, PBE
State: relaxed

- calculated total energy (Ha/atom) = -0.3148
- energy above the lowest structure with this stoichiometry (meV per atom) = 279.8
- crystal system = orthorhombic
- total magnetization (μB per cell) = 0.00
- space-group type = Imm2
- DFT formation energy (eV/atom) = 0.42

a = 5.8752 Å, b = 5.8752 Å, c = 5.8752 Å
α = 151.24°, β = 132.15°, γ = 56.79°
Last column: nearest neighbours and their distance in Å.
Positions (direct):
La (0.0000, 0.0000, 0.0000)  4 Ru 2.79, 2 La 2.92
Re (0.2822, 0.7822, 0.5000)  6 Ru 2.65-2.86, 2 Re 2.92
Ru (0.4963, 0.4963, 0.0000)  2 Re 2.65, 4 Ru 2.75-2.92, 4 La 2.79
Ru (0.7218, 0.2218, 0.5000)  4 Ru 2.75-2.92, 4 Re 2.86


Material: Sc2Cd
Method: DFT, PBE
State: relaxed

- calculated total energy (Ha/atom) = -0.1695
- crystal system = trigonal
- total magnetization (μB per cell) = 1.13
- space-group type = P-3m1
- DFT formation energy (eV/atom) = -0.09

a = 3.2800 Å, b = 3.2800 Å, c = 7.6499 Å
α = 90.00°, β = 90.00°, γ = 120.00°
Last column: nearest neighbours and their distance in Å.
Positions (direct):
Sc (0.3333, 0.6667, 0.3298)  3 Cd 3.15, 9 Sc 3.22-3.28
Sc (0.6667, 0.3333, 0.6702)  3 Cd 3.15, 9 Sc 3.22-3.28
Cd (0.0000, 0.0000, 0.0000)  6 Sc 3.15, 6 Cd 3.28


Material: LiRe3
Method: DFT, PBE
State: relaxed

- calculated total energy (Ha/atom) = -0.3447
- energy above the lowest structure with this stoichiometry (meV per atom) = 248.8
- crystal system = cubic
- total magnetization (μB per cell) = 0.00
- space-group type = Pm-3m
- DFT formation energy (eV/atom) = 0.43

a = 3.8445 Å, b = 3.8445 Å, c = 3.8445 Å
α = 90.00°, β = 90.00°, γ = 90.00°
Last column: nearest neighbours and their distance in Å.
Positions (direct):
Li (0.0000, 0.0000, 0.0000)  12 Re 2.72
Re (0.0000, 0.5000, 0.5000)  8 Re 2.72, 4 Li 2.72
Re (0.5000, 0.0000, 0.5000)  8 Re 2.72, 4 Li 2.72
Re (0.5000, 0.5000, 0.0000)  8 Re 2.72, 4 Li 2.72


Material: NiRu5
Method: DFT, PBE
State: relaxed

- calculated total energy (Ha/atom) = -0.3177
- energy above the lowest structure with this stoichiometry (meV per atom) = 0.0
- crystal system = orthorhombic
- total magnetization (μB per cell) = 0.00
- space-group type = Amm2
- DFT formation energy (eV/atom) = 0.05

a = 4.2689 Å, b = 7.1168 Å, c = 7.1168 Å
α = 22.01°, β = 90.00°, γ = 90.00°
Last column: nearest neighbours and their distance in Å.
Positions (direct):
Ni (0.0000, 0.0000, 0.0000)  10 Ru 2.62-2.70, 2 Ni 2.72
Ru (0.0000, 0.3347, 0.3347)  10 Ru 2.65-2.72, 2 Ni 2.68
Ru (0.0000, 0.6669, 0.6669)  10 Ru 2.64-2.72, 2 Ni 2.70
Ru (0.5000, 0.1092, 0.1092)  2 Ni 2.62, 10 Ru 2.64-2.73
Ru (0.5000, 0.4473, 0.4473)  4 Ni 2.63, 8 Ru 2.64-2.72
Ru (0.5000, 0.7786, 0.7786)  12 Ru 2.64-2.73


Material: Cu2BTe
Method: DFT, PBE
State: relaxed

- calculated total energy (Ha/atom) = -0.1477
- energy above the lowest structure with this stoichiometry (meV per atom) = 0.0
- crystal system = tetragonal
- total magnetization (μB per cell) = 0.00
- space-group type = I-42d
- energy relative to the elements, uncorrected (eV per atom) = 0.485

a = 7.5300 Å, b = 7.5300 Å, c = 7.5300 Å
α = 146.48°, β = 146.48°, γ = 48.14°
Last column: nearest neighbours and their distance in Å.
Positions (direct):
Cu (0.3750, 0.2462, 0.3712)  2 B 2.10
Cu (0.7538, 0.1250, 0.1288)  2 B 2.10
Cu (0.8750, 0.0038, 0.6288)  2 B 2.10
Cu (0.9962, 0.6250, 0.8712)  2 B 2.10
B (0.0000, 0.0000, 0.0000)  4 Cu 2.10
B (0.7500, 0.2500, 0.5000)  4 Cu 2.10
Te (0.2500, 0.7500, 0.5000)  4 Cu 2.62
Te (0.5000, 0.5000, 0.0000)  4 Cu 2.62


Material: YZn2GaNi2
Method: DFT, PBE
State: relaxed

- calculated total energy (Ha/atom) = -0.1494
- crystal system = tetragonal
- total magnetization (μB per cell) = 0.00
- space-group type = P4/mmm
- DFT formation energy (eV/atom) = -0.13

a = 4.3839 Å, b = 4.3839 Å, c = 5.5360 Å
α = 90.00°, β = 90.00°, γ = 90.00°
Last column: nearest neighbours and their distance in Å.
Positions (direct):
Y (0.0000, 0.0000, 0.0000)  2 Ga 2.77
Zn (0.5000, 0.5000, 0.2428)  4 Ni 2.61, 2 Zn 2.69-2.85
Zn (0.5000, 0.5000, 0.7572)  4 Ni 2.61, 2 Zn 2.69-2.85
Ga (0.0000, 0.0000, 0.5000)  4 Ni 2.19
Ni (0.0000, 0.5000, 0.5000)  2 Ga 2.19
Ni (0.5000, 0.0000, 0.5000)  2 Ga 2.19


Material: Tb4Pr10Er
Method: DFT, PBE
State: relaxed

- calculated total energy (Ha/atom) = -0.1487
- crystal system = tetragonal
- total magnetization (μB per cell) = 0.00
- space-group type = I4/m
- DFT formation energy (eV/atom) = 0.68

a = 9.6389 Å, b = 9.6389 Å, c = 9.6389 Å
α = 99.61°, β = 99.61°, γ = 131.78°
Last column: nearest neighbours and their distance in Å.
Positions (direct):
Tb (0.1006, 0.7007, 0.8013)  8 Pr 3.41-3.42
Tb (0.2993, 0.1006, 0.3998)  8 Pr 3.41-3.42
Tb (0.7007, 0.8994, 0.6002)  8 Pr 3.41-3.42
Tb (0.8994, 0.2993, 0.1987)  8 Pr 3.41-3.42
Pr (0.0510, 0.3500, 0.8993)  1 Er 3.40, 3 Tb 3.41
Pr (0.1517, 0.0510, 0.7010)  1 Er 3.40, 3 Tb 3.41
Pr (0.2500, 0.7500, 0.5000)  4 Tb 3.42
Pr (0.3500, 0.4507, 0.2990)  1 Er 3.40, 3 Tb 3.41
Pr (0.4507, 0.1517, 0.1007)  1 Er 3.40, 3 Tb 3.41
Pr (0.5493, 0.8483, 0.8993)  1 Er 3.40, 3 Tb 3.41
Pr (0.6500, 0.5493, 0.7010)  1 Er 3.40, 3 Tb 3.41
Pr (0.7500, 0.2500, 0.5000)  4 Tb 3.42
Pr (0.8483, 0.9490, 0.2990)  1 Er 3.40, 3 Tb 3.41
Pr (0.9490, 0.6500, 0.1007)  1 Er 3.40, 3 Tb 3.41
Er (0.5000, 0.5000, 0.0000)  8 Pr 3.40


Material: Ta2Sb2Pb
Method: DFT, PBE
State: relaxed

- calculated total energy (Ha/atom) = -0.2540
- crystal system = tetragonal
- total magnetization (μB per cell) = 0.00
- space-group type = P4/mbm
- energy relative to the elements, uncorrected (eV per atom) = 0.219

a = 7.9500 Å, b = 7.9500 Å, c = 3.5313 Å
α = 90.00°, β = 90.00°, γ = 90.00°
Last column: nearest neighbours and their distance in Å.
Positions (direct):
Ta (0.1415, 0.3585, 0.0000)  6 Sb 2.90-2.96, 2 Pb 3.06, 1 Ta 3.18
Ta (0.3585, 0.8585, 0.0000)  6 Sb 2.90-2.96, 2 Pb 3.06, 1 Ta 3.18
Ta (0.6415, 0.1415, 0.0000)  6 Sb 2.90-2.96, 2 Pb 3.06, 1 Ta 3.18
Ta (0.8585, 0.6415, 0.0000)  6 Sb 2.90-2.96, 2 Pb 3.06, 1 Ta 3.18
Sb (0.1473, 0.6473, 0.5000)  6 Ta 2.90-2.96
Sb (0.3527, 0.1473, 0.5000)  6 Ta 2.90-2.96
Sb (0.6473, 0.8527, 0.5000)  6 Ta 2.90-2.96
Sb (0.8527, 0.3527, 0.5000)  6 Ta 2.90-2.96
Pb (0.0000, 0.0000, 0.0000)  4 Ta 3.06
Pb (0.5000, 0.5000, 0.0000)  4 Ta 3.06


Material: PmFeCo
Method: DFT, PBE
State: relaxed

- calculated total energy (Ha/atom) = -0.2500
- crystal system = hexagonal
- total magnetization (μB per cell) = 2.31
- space-group type = P-6m2
- DFT formation energy (eV/atom) = -0.03

a = 3.9013 Å, b = 3.9013 Å, c = 4.2277 Å
α = 90.00°, β = 90.00°, γ = 120.00°
Last column: nearest neighbours and their distance in Å.
Positions (direct):
Pm (0.0000, 0.0000, 0.0000)  6 Fe 3.09, 6 Co 3.09
Fe (0.6667, 0.3333, 0.5000)  3 Co 2.25
Co (0.3333, 0.6667, 0.5000)  3 Fe 2.25